Computed, not measured: an optimized crystal structure of Pr2NbN3 at the PBE-GGA level of DFT. Values from VASP.

Geometry as Quantum ESPRESSO input:
```
&SYSTEM
  ibrav = 0, nat = 12, ntyp = 3
/
ATOMIC_SPECIES
N 14.01 N.upf
Nb 92.91 Nb.upf
Pr 140.91 Pr.upf
ATOMIC_POSITIONS angstrom
N -2.972 -7.389 3.058
N -2.515 -4.624 0.410
N -0.727 -2.356 -2.144
N -0.924 -3.392 -4.835
N -3.169 -8.425 0.368
N -1.381 -6.157 -2.186
Nb 0.412 -6.826 -2.059
Nb -4.308 -3.956 0.283
Pr -3.637 -7.042 -1.682
Pr -2.429 -4.039 -2.924
Pr -1.467 -6.742 1.148
Pr -0.259 -3.739 -0.094
CELL_PARAMETERS angstrom
-0.393 -2.073 -5.381
1.314 -5.497 2.019
-4.817 -3.211 1.585
```

Calculated values
The uncorrected formation energy comes out at -1.08 eV per atom. Its space group is Cmcm. Its magnetic moment is 0.0 μB/cell. As for the total energy: -8.515 eV per atom. The calculation puts the density of states at the Fermi level at 3.68 states/eV/cell.